# 1
The following is a GGA-PBE calculation of a relaxed structure of Pm2NdPuSb4, from Alexandria.

Structure (extended XYZ):
```
8
Lattice="-4.459 -0.108 0.507 0.488 -7.245 2.750 0.547 5.041 5.881" Properties=species:S:1:pos:R:3 pbc="T T T"
Nd 0.000 0.000 0.000
Sb 0.499 -4.156 3.500
Sb 0.537 1.953 5.131
Sb -1.454 -1.679 6.722
Sb -1.969 -0.633 2.417
Pm -1.956 2.467 3.194
Pm 0.518 -1.102 4.316
Pu -1.985 -3.676 1.629
```

Properties
E_form (uncorrected): -99.5 kJ/mol of atoms
SG: No. 10
electronic total energy: -6.668 eV per atom
M_tot: 0.6281 μB per atom

# 2
The following is a GGA-PBE calculation of a relaxed structure of NaAuN2, from Alexandria.

Structure (extended XYZ):
```
4
Lattice="2.285 0.000 6.051 -1.142 1.979 6.051 -1.142 -1.979 6.051" Properties=species:S:1:pos:R:3 pbc="T T T"
N 0.000 0.000 16.348
N 0.000 0.000 1.805
Na 0.000 0.000 9.076
Au 0.000 0.000 0.000
```

Properties
E_form (uncorrected): 128.7 kJ/mol of atoms
energy above the lowest structure with this stoichiometry: 1384 meV per atom
SG: No. 166
electronic total energy: -3.978 eV per atom
M_tot: 0.0000 μB per atom

# 3
The following is a GGA-PBE calculation of a relaxed structure of Bi2SbPd9, from Alexandria.

Structure (extended XYZ):
```
12
Lattice="-3.678 -1.715 -0.697 1.599 -3.724 0.727 -2.792 1.131 11.939" Properties=species:S:1:pos:R:3 pbc="T T T"
Bi -0.924 0.374 3.950
Bi -1.868 0.757 7.989
Pd -3.235 -0.292 5.621
Pd -4.187 0.094 9.693
Pd -1.960 -2.347 3.951
Pd -1.039 -2.720 0.015
Pd -0.596 -1.296 6.333
Pd -2.911 -1.961 8.017
Pd -1.548 -0.910 10.405
Pd -2.283 -0.678 1.549
Pd 0.356 -1.682 2.261
Sb 0.000 0.000 0.000
```

Properties
E_form (uncorrected): -26.3 kJ/mol of atoms
SG: No. 123
electronic total energy: -5.157 eV per atom
M_tot: 0.0000 μB per atom

# 4
The following is a GGA-PBE calculation of a relaxed structure of Cs6Nd3Br14, from Alexandria.

Structure (extended XYZ):
```
23
Lattice="7.042 0.000 0.000 0.000 11.555 -6.672 0.000 0.000 13.343" Properties=species:S:1:pos:R:3 pbc="T T T"
Cs 5.413 0.294 5.914
Cs 5.413 6.287 3.969
Cs 1.699 9.090 -4.002
Cs 1.699 10.477 3.202
Cs 1.699 3.544 0.800
Cs 5.413 4.975 10.131
Br 1.923 6.894 2.338
Br 2.969 0.000 0.000
Br 5.089 9.303 1.878
Br 5.089 8.530 -2.324
Br 1.923 6.084 -1.870
Br 3.333 6.448 7.189
Br 6.622 3.852 6.672
Br 6.764 0.814 2.512
Br 3.333 2.106 8.661
Br 6.764 8.973 6.121
Br 3.333 3.002 4.164
Br 1.923 10.133 -0.468
Br 6.764 1.768 11.382
Br 5.089 5.277 0.446
Nd 5.793 0.000 0.000
Nd 3.499 7.704 0.000
Nd 2.410 3.852 6.672
```

Properties
E_form (uncorrected): -170.0 kJ/mol of atoms
SG: No. 143
electronic total energy: -3.625 eV per atom
M_tot: 0.0516 μB per atom

# 5
The following is a GGA-PBE calculation of a relaxed structure of LaCuSe2, from Alexandria.

Structure (extended XYZ):
```
4
Lattice="-0.195 1.071 -6.399 -3.878 -0.743 -5.151 -3.209 3.441 -4.471" Properties=species:S:1:pos:R:3 pbc="T T T"
Se -3.716 1.923 -8.175
Se -7.208 3.730 -15.857
Cu -1.821 0.942 -4.005
La -5.462 2.827 -12.016
```

Properties
E_form (uncorrected): -108.1 kJ/mol of atoms
SG: No. 166
electronic total energy: -5.118 eV per atom
M_tot: 0.0000 μB per atom

# 6
The following is a GGA-PBE calculation of a relaxed structure of Cs2PdCl6F, from Alexandria.

Structure (extended XYZ):
```
10
Lattice="-2.735 0.867 -6.526 -5.642 -3.951 1.839 -6.849 3.061 -0.617" Properties=species:S:1:pos:R:3 pbc="T T T"
Cl -9.494 -1.151 -3.962
Cl -1.972 -0.726 -1.103
Cl -5.731 1.128 -1.342
Cl -6.404 -2.358 -3.583
Cl -4.957 -2.817 -0.130
Cl -3.419 -0.267 -4.557
F -4.188 -1.542 -2.343
Pd 0.000 0.000 0.000
Cs -6.886 1.193 -4.743
Cs -8.339 -1.216 -0.560
```

Properties
E_form (uncorrected): -100.9 kJ/mol of atoms
SG: No. 139
electronic total energy: -3.031 eV per atom
M_tot: 0.1000 μB per atom

# 7
The following is a GGA-PBE calculation of a relaxed structure of TbYCoIr, from Alexandria.

Structure (extended XYZ):
```
4
Lattice="4.818 0.000 0.000 2.409 4.173 0.000 2.409 1.391 3.934" Properties=species:S:1:pos:R:3 pbc="T T T"
Tb 2.409 1.391 0.984
Co 0.000 0.000 0.000
Y 7.227 4.173 2.951
Ir 4.818 2.782 1.967
```

Properties
SG: No. 216
electronic total energy: -7.248 eV per atom
M_tot: 0.1311 μB per atom

# 8
The following is a GGA-PBE calculation of a relaxed structure of ZnReB3, from Alexandria.

Structure (extended XYZ):
```
5
Lattice="3.829 0.000 0.000 0.000 3.829 0.000 0.000 0.000 3.829" Properties=species:S:1:pos:R:3 pbc="T T T"
Zn 0.000 0.000 0.000
B 1.915 0.000 0.000
B 0.000 1.915 0.000
B 0.000 0.000 1.915
Re 1.915 1.915 1.915
```

Properties
energy above the lowest structure with this stoichiometry: 1102 meV per atom
SG: No. 221
electronic total energy: -4.519 eV per atom
M_tot: 0.0000 μB per atom

# 9
The following is a GGA-PBE calculation of a relaxed structure of PmEr4Sc5, from Alexandria.

Structure (extended XYZ):
```
10
Lattice="-4.793 0.621 -0.587 -3.156 -4.849 0.448 -2.776 6.773 9.643" Properties=species:S:1:pos:R:3 pbc="T T T"
Sc -5.360 4.890 8.562
Sc -5.739 0.504 7.012
Sc -2.966 0.962 5.045
Sc -4.986 2.041 2.491
Sc -5.365 -2.345 0.942
Er -5.554 -0.925 3.987
Er -2.780 -0.465 2.015
Er -5.171 3.470 5.516
Er -7.945 3.010 7.488
Pm 0.000 0.000 0.000
```

Properties
energy above the lowest structure with this stoichiometry: 0 meV per atom
SG: No. 12
electronic total energy: -5.413 eV per atom
M_tot: 0.0000 μB per atom

# 10
The following is a GGA-PBE calculation of a relaxed structure of Pu2GaRh, from Alexandria.

Structure (extended XYZ):
```
4
Lattice="-1.053 3.276 1.530 -3.610 -0.867 -0.627 -0.297 -2.532 5.216" Properties=species:S:1:pos:R:3 pbc="T T T"
Pu -0.072 -0.614 1.265
Pu -0.225 -1.918 3.951
Rh -2.331 1.204 0.452
Ga -2.480 -0.062 3.060
```

Properties
SG: No. 123
electronic total energy: -10.155 eV per atom
M_tot: 2.6617 μB per atom

# 11
The following is a GGA-PBE calculation of a relaxed structure of YZn4Pd2, from Alexandria.

Structure (extended XYZ):
```
14
Lattice="-0.845 2.563 3.314 -1.247 -6.007 4.328 7.253 -0.111 1.935" Properties=species:S:1:pos:R:3 pbc="T T T"
Zn 0.278 -2.137 1.724
Zn 5.729 -3.980 4.540
Zn -0.110 -2.334 4.533
Zn 2.444 -0.635 1.114
Zn 3.563 -5.482 5.149
Zn 1.420 -3.892 6.129
Zn 5.272 -1.220 5.045
Zn 3.741 0.338 3.449
Pd 1.284 -0.457 3.437
Pd 0.588 -4.734 3.812
Pd 3.877 -3.097 6.141
Pd 5.419 -1.383 2.452
Y -0.423 1.282 1.657
Y 3.003 -3.059 3.132
```

Properties
energy above the lowest structure with this stoichiometry: 0 meV per atom
SG: No. 136
electronic total energy: -3.669 eV per atom
M_tot: 0.0000 μB per atom

# 12
The following is a GGA-PBE calculation of a relaxed structure of ZrAg2Pb, from Alexandria.

Structure (extended XYZ):
```
4
Lattice="-1.974 -2.818 -2.480 3.336 -2.591 0.289 -1.905 -2.026 3.819" Properties=species:S:1:pos:R:3 pbc="T T T"
Pb -1.939 -2.422 0.669
Ag 0.000 0.000 0.000
Ag 0.681 -2.705 -1.095
Zr 0.716 -2.309 2.054
```

Properties
SG: No. 123
electronic total energy: -4.533 eV per atom
M_tot: 0.0000 μB per atom